1.
A geometry-optimized BaEuAlTl structure. Source: Alexandria, functional PBE-GGA.

## Properties
M_tot, μB per cell: 7.339
Symmetry: F-43m, No. 216
VASP energy, eV per cell: -19.2
Energy relative to the elements, meV/atom: -218

```
BaEuAlTl
1.0
0.000 4.079 4.079
4.079 0.000 4.079
4.079 4.079 0.000
Ba Eu Al Tl
1 1 1 1
Direct
0.000 0.000 0.000 Ba
0.500 0.500 0.500 Eu
0.750 0.750 0.750 Al
0.250 0.250 0.250 Tl
```

---

2.
A geometry-optimized SmY2Se4 structure. Source: Alexandria, functional PBE-GGA.

## Properties
M_tot, μB per cell: 0.000
Symmetry: Cmcm, No. 63
Uncorrected formation energy, eV/f.u.: -13.0
VASP energy, eV per cell: -89.3

```
SmY2Se4
1.0
2.005 -6.749 0.000
2.005 6.749 0.000
0.000 0.000 13.862
Sm Y Se
2 4 8
Direct
0.126 0.874 0.750 Sm
0.874 0.126 0.250 Sm
0.370 0.630 0.569 Y
0.370 0.630 0.931 Y
0.630 0.370 0.069 Y
0.630 0.370 0.431 Y
0.000 0.000 0.000 Se
0.000 0.000 0.500 Se
0.276 0.724 0.121 Se
0.276 0.724 0.379 Se
0.466 0.534 0.750 Se
0.534 0.466 0.250 Se
0.724 0.276 0.621 Se
0.724 0.276 0.879 Se
```

---

3.
A geometry-optimized UMoPt structure. Source: Alexandria, functional PBE-GGA.

## Properties
M_tot, μB per cell: 0.002
Symmetry: Fmmm, No. 69
VASP energy, eV per cell: -56.4
Energy relative to the elements, meV/atom: -21

```
UMoPt
1.0
0.000 4.369 4.508
2.794 0.000 4.508
2.794 4.369 0.000
U Mo Pt
2 2 2
Direct
0.139 0.139 0.861 U
0.861 0.861 0.139 U
0.250 0.250 0.250 Mo
0.750 0.750 0.750 Mo
0.341 0.659 0.341 Pt
0.659 0.341 0.659 Pt
```